14
Lattice="8.6956 0.3117 -0.1515 -0.3160 8.6954 0.1514 -4.0775 -4.6077 6.1544" Properties=species:S:1:pos:R:3 comment="Y4Ge2Te (GGA-PBE, optimized geometry)" raw_formation_energy_ev_per_atom=-0.787 e_tot_ev_per_cell=-87.481 pbc="T T T"
Ge -2.0897 -0.1560 4.6536
Ge 2.2581 -0.0002 4.5779
Y 2.5327 0.0580 1.7271
Y 6.2282 0.1932 1.6623
Y 0.1538 -1.9298 4.8153
Ge 4.2969 2.3036 1.5008
Y 2.3655 4.4141 1.3391
Te 0.0012 0.0007 0.0000
Y 6.0610 4.5494 1.2744
Y 0.0223 1.7659 4.8800
Y 4.4939 -1.7661 4.2758
Y 4.3623 1.9295 4.3406
Te -0.1030 4.2950 3.1529
Ge 4.1388 6.6514 1.5764